The following is a PBE-GGA calculation of a relaxed structure of LaHgAs2, from Alexandria via LeMat-Bulk.

Calculated values
V ... 25.87 A^3/atom
Calculated total energy ... -15.2 eV for the cell shown
Spin magnetization ... 0.00 Bohr magnetons per cell
DFT formation energy ... -0.1648 eV per atom

Unit cell a=8.9934 b=8.9934 c=8.9934 alpha=23.73 beta=23.73 gamma=23.73
Fractional positions:
As (0.9855, 0.9855, 0.9855)
As (0.2617, 0.2617, 0.2617)
Hg (0.5085, 0.5085, 0.5085)
La (0.7442, 0.7442, 0.7442)

The following is a PBE-GGA calculation of a relaxed structure of MgOsRu3, from Alexandria via LeMat-Bulk.

Calculated values
V ... 20.60 A^3/atom
Calculated total energy ... -33.9 eV for the cell shown
Spin magnetization ... 0.00 Bohr magnetons per cell
DFT formation energy ... 1.3517 eV per atom

Unit cell a=4.6872 b=4.6872 c=4.6872 alpha=90.00 beta=90.00 gamma=90.00
Fractional positions:
Ru (0.0000, 0.5000, 0.0000)
Ru (0.0000, 0.0000, 0.5000)
Ru (0.5000, 0.0000, 0.0000)
Mg (0.5000, 0.5000, 0.5000)
Os (0.0000, 0.0000, 0.0000)

The following is a PBE-GGA calculation of a relaxed structure of CsK2NbNi, from Alexandria via LeMat-Bulk.

Calculated values
V ... 42.17 A^3/atom
Calculated total energy ... -13.9 eV for the cell shown
Spin magnetization ... 2.65 Bohr magnetons per cell
DFT formation energy ... 1.0055 eV per atom

Unit cell a=6.6857 b=4.7168 c=6.6857 alpha=90.00 beta=90.00 gamma=90.00
Fractional positions:
Cs (0.5000, 0.5000, 0.5000)
Ni (0.0000, 0.5000, 0.0000)
Nb (0.0000, 0.0000, 0.0000)
K (0.0000, 0.0000, 0.5000)
K (0.5000, 0.0000, 0.0000)

Look up the calculated total energy of the third one.
-13.9 eV for the cell shown